(1)
The following is a PBE calculation of a relaxed Dy12Cu6Ag crystal, from the Alexandria database.

```
Dy12Cu6Ag
1.0
-4.8990 4.8990 4.8990
4.8990 -4.8990 4.8990
4.8990 4.8990 -4.8990
Dy Cu Ag
12 6 1
direct
0.1054 0.2940 0.8113 Dy
0.1887 0.4827 0.2940 Dy
0.1887 0.8946 0.7060 Dy
0.2940 0.1887 0.4827 Dy
0.2940 0.8113 0.1054 Dy
0.4827 0.2940 0.1887 Dy
0.5173 0.7060 0.8113 Dy
0.7060 0.1887 0.8946 Dy
0.7060 0.8113 0.5173 Dy
0.8113 0.1054 0.2940 Dy
0.8113 0.5173 0.7060 Dy
0.8946 0.7060 0.1887 Dy
0.1246 0.5000 0.6246 Cu
0.3754 0.8754 0.5000 Cu
0.5000 0.3754 0.8754 Cu
0.5000 0.6246 0.1246 Cu
0.6246 0.1246 0.5000 Cu
0.8754 0.5000 0.3754 Cu
0.0000 0.0000 0.0000 Ag
```

Output
Formation energy ... -0.16 eV/atom
Energy above the lowest structure with this stoichiometry ... 0 meV per atom


(2)
The following is a PBE calculation of a relaxed Dy2CuAg crystal, from the Alexandria database.

```
Dy2CuAg
1.0
2.0266 1.1701 7.1372
-2.0266 1.1701 7.1372
0.0000 -2.3401 7.1372
Dy Cu Ag
2 1 1
direct
0.2426 0.2426 0.2426 Dy
0.7574 0.7574 0.7574 Dy
0.5000 0.5000 0.5000 Cu
0.0000 0.0000 0.0000 Ag
```

Output
Formation energy ... -0.05 eV/atom
Energy above the lowest structure with this stoichiometry ... 237 meV per atom


(3)
The following is a PBE calculation of a relaxed DyCu8Ag3 crystal, from the Alexandria database.

```
DyCu8Ag3
1.0
2.4971 1.4417 8.1894
-2.4971 1.4417 8.1894
0.0000 -2.8834 8.1894
Dy Cu Ag
1 8 3
direct
0.0000 0.0000 0.0000 Dy
0.0622 0.0622 0.5599 Cu
0.0622 0.5599 0.0622 Cu
0.0663 0.5644 0.5644 Cu
0.3124 0.3124 0.3124 Cu
0.5599 0.0622 0.0622 Cu
0.5644 0.0663 0.5644 Cu
0.5644 0.5644 0.0663 Cu
0.8131 0.8131 0.8131 Cu
0.1269 0.1269 0.1269 Ag
0.5001 0.5001 0.5001 Ag
0.6199 0.6199 0.6199 Ag
```

Output
Formation energy ... -0.07 eV/atom


(4)
The following is a PBE calculation of a relaxed DyCu4Ag crystal, from the Alexandria database.

```
DyCu4Ag
1.0
0.0000 3.5784 3.5784
3.5784 0.0000 3.5784
3.5784 3.5784 0.0000
Dy Cu Ag
1 4 1
direct
0.0000 0.0000 0.0000 Dy
0.1276 0.6241 0.6241 Cu
0.6241 0.1276 0.6241 Cu
0.6241 0.6241 0.1276 Cu
0.6241 0.6241 0.6241 Cu
0.2500 0.2500 0.2500 Ag
```

Output
Formation energy ... -0.23 eV/atom


(5)
The following is a PBE calculation of a relaxed Dy5Cu2Ag crystal, from the Alexandria database.

```
Dy5Cu2Ag
1.0
-3.9177 3.9177 6.4320
3.9177 -3.9177 6.4320
3.9177 3.9177 -6.4320
Dy Cu Ag
10 4 2
direct
0.0000 0.0000 0.0000 Dy
0.0166 0.5166 0.8176 Dy
0.1990 0.0166 0.5000 Dy
0.3010 0.8010 0.8176 Dy
0.4834 0.3010 0.5000 Dy
0.5000 0.5000 0.0000 Dy
0.5166 0.6990 0.5000 Dy
0.6990 0.1990 0.1824 Dy
0.8010 0.9834 0.5000 Dy
0.9834 0.4834 0.1824 Dy
0.1254 0.3746 0.5000 Cu
0.3746 0.8746 0.2493 Cu
0.6254 0.1254 0.7507 Cu
0.8746 0.6254 0.5000 Cu
0.2500 0.2500 0.0000 Ag
0.7500 0.7500 0.0000 Ag
```

Output
Formation energy ... -0.17 eV/atom


(6)
The following is a PBE calculation of a relaxed Dy2Cu15Ag2 crystal, from the Alexandria database.

```
Dy2Cu15Ag2
1.0
4.3424 2.5071 4.2086
-4.3424 2.5071 4.2086
0.0000 -5.0142 4.2086
Dy Cu Ag
2 15 2
direct
0.1528 0.1528 0.1528 Dy
0.8472 0.8472 0.8472 Dy
0.0000 0.5000 0.5000 Cu
0.1511 0.1511 0.6609 Cu
0.1511 0.6609 0.1511 Cu
0.1976 0.5000 0.8024 Cu
0.1976 0.8024 0.5000 Cu
0.3391 0.8489 0.8489 Cu
0.5000 0.0000 0.5000 Cu
0.5000 0.1976 0.8024 Cu
0.5000 0.5000 0.0000 Cu
0.5000 0.8024 0.1976 Cu
0.6609 0.1511 0.1511 Cu
0.8024 0.1976 0.5000 Cu
0.8024 0.5000 0.1976 Cu
0.8489 0.3391 0.8489 Cu
0.8489 0.8489 0.3391 Cu
0.3949 0.3949 0.3949 Ag
0.6051 0.6051 0.6051 Ag
```

Output
Formation energy ... -0.10 eV/atom


(7)
The following is a PBE calculation of a relaxed DyCu8Ag3 crystal, from the Alexandria database.

```
DyCu8Ag3
1.0
5.0047 0.0000 0.0000
-2.5024 4.3342 0.0000
0.0000 0.0000 8.1398
Dy Cu Ag
1 8 3
direct
0.0000 0.0000 0.0000 Dy
0.1658 0.3315 0.6819 Cu
0.1658 0.8342 0.6819 Cu
0.3333 0.6667 0.4341 Cu
0.3333 0.6667 0.9348 Cu
0.5022 0.0044 0.1913 Cu
0.5022 0.4978 0.1913 Cu
0.6685 0.8342 0.6819 Cu
0.9956 0.4978 0.1913 Cu
0.0000 0.0000 0.3827 Ag
0.6667 0.3333 0.4961 Ag
0.6667 0.3333 0.8631 Ag
```

Output
Formation energy ... -0.07 eV/atom


(8)
The following is a PBE calculation of a relaxed DyCu2Ag crystal, from the Alexandria database.

```
DyCu2Ag
1.0
3.3860 0.0000 0.0000
0.0000 3.3860 0.0000
0.0000 0.0000 6.2327
Dy Cu Ag
1 2 1
direct
0.0000 0.0000 0.0000 Dy
0.5000 0.5000 0.2866 Cu
0.5000 0.5000 0.7134 Cu
0.0000 0.0000 0.5000 Ag
```

Output
Formation energy ... -0.09 eV/atom
Energy above the lowest structure with this stoichiometry ... 53 meV per atom


Which formula does entry 4 have?
DyCu4Ag


Number 5 is which compound?
Dy5Cu2Ag


What is the formation energy in the fifth record?
-0.17 eV/atom


Number 6 is which compound?
Dy2Cu15Ag2